# MgGa2Cu5 PBE relaxed
data_MgGa2Cu5
_chemical_formula_sum 'Mg1 Ga2 Cu5'
_cell_length_a 4.2172
_cell_length_b 4.2172
_cell_length_c 5.9633
_cell_angle_alpha 90.00
_cell_angle_beta 90.00
_cell_angle_gamma 90.00
_space_group_name_H-M_alt 'P 4/m m m'
_space_group_IT_number 123
_space_group_name_Hall '-P 4 2'
loop_
_atom_site_label
_atom_site_fract_x
_atom_site_fract_y
_atom_site_fract_z
_atom_site_occupancy
Mg1 0.0000 0.0000 0.0000 1
Ga1 0.0000 0.0000 0.5000 1
Ga2 0.5000 0.5000 0.0000 1
Cu1 0.0000 0.5000 0.2624 1
Cu2 0.5000 0.5000 0.5000 1
# - total energy (eV/atom) = -3.379